Version one
The following is a DFT calculation (PBE) of a geometry-optimized Zn2HgSe structure.

Summary:
Space-group type: No. 65

abc: 5.388 5.388 2.742
angles: 90.00 90.00 90.16
Atoms (fractional coordinates):
Zn 0.000 0.500 0.000
Zn 0.500 0.000 0.000
Hg 0.000 0.000 0.500
Se 0.500 0.500 0.500

Version two
The following is a DFT calculation (PBE) of a geometry-optimized Zn2HgSe structure.

Summary:
Space-group type: No. 160

abc: 7.383 7.383 7.383
angles: 30.60 30.60 30.60
Atoms (fractional coordinates):
Zn 0.000 0.000 0.000
Zn 0.252 0.252 0.252
Hg 0.751 0.751 0.751
Se 0.536 0.536 0.536

Version three
The following is a DFT calculation (PBE) of a geometry-optimized Zn2HgSe structure.

Summary:
Space-group type: No. 12

abc: 4.898 4.898 4.084
angles: 106.61 106.61 92.23
Atoms (fractional coordinates):
Zn 0.000 0.500 0.000
Zn 0.500 0.000 0.000
Hg 0.000 0.000 0.500
Se 0.500 0.500 0.500

version two has the most favorable energy; the next structure is 125 meV/atom above.

Version one
The following is a DFT calculation (PBE) of a geometry-optimized ZnHgSe structure.

Summary:
Space-group type: No. 216

abc: 4.624 4.624 4.624
angles: 60.00 60.00 60.00
Atoms (fractional coordinates):
Zn 0.000 0.000 0.000
Hg 0.750 0.750 0.750
Se 0.250 0.250 0.250

Version two
The following is a DFT calculation (PBE) of a geometry-optimized ZnHgSe structure.

Summary:
Space-group type: No. 107

abc: 6.583 6.583 6.583
angles: 148.02 148.02 45.86
Atoms (fractional coordinates):
Zn 0.000 0.000 0.000
Hg 0.784 0.784 0.000
Se 0.553 0.553 0.000

Version three
The following is a DFT calculation (PBE) of a geometry-optimized ZnHgSe structure.

Summary:
Space-group type: No. 42

abc: 6.766 6.296 3.732
angles: 80.47 66.58 32.95
Atoms (fractional coordinates):
Zn 0.000 0.000 0.000
Hg 0.681 0.681 0.319
Se 0.384 0.384 0.616

version two has the most favorable energy; the next structure is 177 meV/atom above.

Version one
The following is a DFT calculation (PBE) of a geometry-optimized Zn2Hg2Se structure.

Summary:
Space-group type: No. 127

abc: 8.530 8.530 2.875
angles: 90.00 90.00 90.00
Atoms (fractional coordinates):
Zn 0.109 0.391 0.000
Zn 0.391 0.891 0.000
Zn 0.609 0.109 0.000
Zn 0.891 0.609 0.000
Hg 0.191 0.691 0.500
Hg 0.309 0.191 0.500
Hg 0.691 0.809 0.500
Hg 0.809 0.309 0.500
Se 0.000 0.000 0.500
Se 0.500 0.500 0.500

Version two
The following is a DFT calculation (PBE) of a geometry-optimized Zn2Hg2Se structure.

Summary:
Space-group type: No. 127

abc: 6.572 6.572 5.888
angles: 90.00 90.00 90.00
Atoms (fractional coordinates):
Zn 0.131 0.369 0.000
Zn 0.369 0.869 0.000
Zn 0.631 0.131 0.000
Zn 0.869 0.631 0.000
Hg 0.182 0.318 0.500
Hg 0.318 0.818 0.500
Hg 0.682 0.182 0.500
Hg 0.818 0.682 0.500
Se 0.000 0.000 0.000
Se 0.500 0.500 0.000

version two has the most favorable energy; the next structure is 182 meV/atom above.